Here is crystalline SmDyTmAl at its relaxed geometry from Alexandria. Energies are from PBE.

Lattice parameters (Å, degrees): 3.5087 3.5087 9.0224 90.00 90.00 90.00
Last column: nearest neighbours and their distance in Å.
Space group P4mm (No. 99)
Asymmetric unit:
Sm (0.0000, 0.0000, 0.0000) (multiplicity 1)  4 Sm 3.51, 4 Tm 3.58, 4 Dy 3.62
Dy (0.5000, 0.5000, 0.7075) (multiplicity 1)  4 Al 3.14, 4 Dy 3.51
Tm (0.5000, 0.5000, 0.2855) (multiplicity 1)  4 Al 3.11
Al (0.0000, 0.0000, 0.4935) (multiplicity 1)  4 Tm 3.11, 4 Dy 3.14

The spin magnetization is 0.00 Bohr magnetons per cell. The polymorph energy (0 for the lowest one) comes out at 0 meV/atom. Its total energy is -4.5794 eV/atom. As for the formation energy: -0.20 eV/atom.

=====

Here is crystalline SmDyYAl at its relaxed geometry from Alexandria. Energies are from PBE.

Lattice parameters (Å, degrees): 3.5310 3.5310 9.0843 90.00 90.00 90.00
Last column: nearest neighbours and their distance in Å.
Space group P4mm (No. 99)
Asymmetric unit:
Sm (0.0000, 0.0000, 0.0000) (multiplicity 1)  4 Sm 3.53, 4 Dy 3.61, 4 Y 3.64
Dy (0.5000, 0.5000, 0.2873) (multiplicity 1)  4 Al 3.15
Y (0.5000, 0.5000, 0.7087) (multiplicity 1)  4 Al 3.15
Al (0.0000, 0.0000, 0.4979) (multiplicity 1)  4 Dy 3.15, 4 Y 3.15

The spin magnetization is 0.00 Bohr magnetons per cell. The polymorph energy (0 for the lowest one) comes out at 0 meV/atom. Its total energy is -5.0794 eV/atom. As for the formation energy: -0.20 eV/atom.

=====

Here is crystalline SmDyYAl at its relaxed geometry from Alexandria. Energies are from PBE.

Lattice parameters (Å, degrees): 7.6240 7.6240 7.6240 90.00 90.00 90.00
Last column: nearest neighbours and their distance in Å.
Space group F-43m (No. 216)
Asymmetric unit:
Sm (0.0000, 0.0000, 0.0000) (multiplicity 4)  4 Dy 3.30, 4 Al 3.30
Dy (0.2500, 0.2500, 0.2500) (multiplicity 4)  4 Sm 3.30, 4 Y 3.30
Y (0.0000, 0.0000, 0.5000) (multiplicity 4)  4 Al 3.30, 4 Dy 3.30
Al (0.2500, 0.2500, 0.7500) (multiplicity 4)  4 Sm 3.30, 4 Y 3.30

The spin magnetization is 2.28 Bohr magnetons per cell. The polymorph energy (0 for the lowest one) comes out at 144 meV/atom. Its total energy is -4.9355 eV/atom. As for the formation energy: -0.05 eV/atom.

=====

Here is crystalline SmDyAl2Zn2 at its relaxed geometry from Alexandria. Energies are from PBE.

Lattice parameters (Å, degrees): 4.5027 4.5027 7.3040 90.00 90.00 120.00
Last column: nearest neighbours and their distance in Å.
Space group P-3m1 (No. 164)
Asymmetric unit:
Sm (0.0000, 0.0000, 0.0000) (multiplicity 1)  6 Al 3.23, 6 Zn 3.26
Dy (0.0000, 0.0000, 0.5000) (multiplicity 1)  6 Zn 3.10, 6 Al 3.12
Al (0.3333, 0.6667, 0.7367) (multiplicity 2)  3 Zn 2.60
Zn (0.3333, 0.6667, 0.2686) (multiplicity 2)  3 Al 2.60

The spin magnetization is 0.00 Bohr magnetons per cell. Its total energy is -3.6761 eV/atom. As for the formation energy: -0.45 eV/atom.

=====

Here is crystalline Dy2AlSn at its relaxed geometry from Alexandria. Energies are from PBE.

Lattice parameters (Å, degrees): 3.8574 3.8574 6.7719 90.00 90.00 90.00
Last column: nearest neighbours and their distance in Å.
Space group P4/mmm (No. 123)
Asymmetric unit:
Dy (0.0000, 0.0000, 0.2454) (multiplicity 2)  4 Al 3.19, 4 Sn 3.23, 2 Dy 3.32-3.45
Al (0.5000, 0.5000, 0.0000) (multiplicity 1)  8 Dy 3.19, 2 Sn 3.39
Sn (0.5000, 0.5000, 0.5000) (multiplicity 1)  8 Dy 3.23, 2 Al 3.39

The spin magnetization is 0.00 Bohr magnetons per cell. Its total energy is -4.6972 eV/atom. As for the formation energy: -0.46 eV/atom.

=====

Here is crystalline Dy5Al2Sn at its relaxed geometry from Alexandria. Energies are from PBE.

Lattice parameters (Å, degrees): 7.9929 7.9929 13.6086 90.00 90.00 90.00
Last column: nearest neighbours and their distance in Å.
Space group I4/mcm (No. 140)
Asymmetric unit:
Dy (0.0000, 0.0000, 0.0000) (multiplicity 4)  4 Al 3.16, 2 Sn 3.40
Dy (0.1646, 0.3354, 0.1469) (multiplicity 16)  3 Al 3.08-3.10, 2 Sn 3.30, 1 Dy 3.41
Al (0.1254, 0.3746, 0.5000) (multiplicity 8)  1 Al 2.83, 8 Dy 3.08-3.16
Sn (0.0000, 0.0000, 0.2500) (multiplicity 4)  10 Dy 3.30-3.40

The spin magnetization is 0.00 Bohr magnetons per cell. Its total energy is -4.7534 eV/atom. As for the formation energy: -0.44 eV/atom.

=====

Here is crystalline Dy2AlSn at its relaxed geometry from Alexandria. Energies are from PBE.

Lattice parameters (Å, degrees): 4.1947 4.4840 11.2110 90.00 90.00 90.00
Last column: nearest neighbours and their distance in Å.
Space group Amm2 (No. 38)
Asymmetric unit:
Dy (0.0000, 0.0000, 0.0000) (multiplicity 2)  3 Al 3.08-3.38, 4 Sn 3.15
Dy (0.5000, 0.0000, 0.2789) (multiplicity 2)  4 Al 3.13, 3 Sn 3.17-3.31
Al (0.0000, 0.0000, 0.7251) (multiplicity 2)  2 Sn 2.78, 1 Dy 3.08
Sn (0.5000, 0.0000, 0.5618) (multiplicity 2)  2 Al 2.78

The spin magnetization is 0.00 Bohr magnetons per cell. Its total energy is -4.8362 eV/atom. As for the formation energy: -0.60 eV/atom.

=====

Here is crystalline Dy4AlSn2 at its relaxed geometry from Alexandria. Energies are from PBE.

Lattice parameters (Å, degrees): 4.8996 4.8996 30.7666 90.00 90.00 120.00
Last column: nearest neighbours and their distance in Å.
Space group R-3m (No. 166, hexagonal axes)
Asymmetric unit:
Dy (0.0000, 0.0000, 0.1242) (multiplicity 6)  3 Al 3.12, 3 Sn 3.28
Dy (0.0000, 0.0000, 0.2966) (multiplicity 6)  4 Sn 3.01-3.30
Al (0.0000, 0.0000, 0.5000) (multiplicity 3)  2 Sn 2.96, 6 Dy 3.12
Sn (0.0000, 0.0000, 0.4038) (multiplicity 6)  1 Al 2.96, 7 Dy 3.01-3.30

The spin magnetization is 0.00 Bohr magnetons per cell. Its total energy is -4.6703 eV/atom. As for the formation energy: -0.36 eV/atom.

=====

Here is crystalline Dy3AlSn2 at its relaxed geometry from Alexandria. Energies are from PBE.

Lattice parameters (Å, degrees): 12.2136 4.4390 11.8003 90.00 90.00 90.00
Last column: nearest neighbours and their distance in Å.
Space group Pnma (No. 62)
Asymmetric unit:
Dy (0.0500, 0.2500, 0.1212) (multiplicity 4)  1 Al 3.09, 5 Sn 3.10-3.25
Dy (0.1276, 0.7500, 0.5621) (multiplicity 4)  5 Sn 3.16-3.28, 3 Al 3.18-3.26
Dy (0.2168, 0.2500, 0.7958) (multiplicity 4)  2 Al 3.02, 4 Sn 3.05-3.34
Al (0.1311, 0.2500, 0.3696) (multiplicity 4)  3 Sn 2.74-2.75, 2 Dy 3.02
Sn (0.0105, 0.7500, 0.3118) (multiplicity 4)  2 Al 2.75, 1 Dy 3.05
Sn (0.1868, 0.7500, 0.0049) (multiplicity 4)  1 Al 2.74

The spin magnetization is 0.00 Bohr magnetons per cell. Its total energy is -4.8642 eV/atom. As for the formation energy: -0.61 eV/atom.

=====

Here is crystalline Dy2AlSn at its relaxed geometry from Alexandria. Energies are from PBE.

Lattice parameters (Å, degrees): 4.8296 4.8296 4.2833 90.00 90.00 90.00
Last column: nearest neighbours and their distance in Å.
Space group P4/mmm (No. 123)
Asymmetric unit:
Dy (0.0000, 0.5000, 0.0000) (multiplicity 2)  4 Sn 3.23, 4 Al 3.23, 4 Dy 3.42
Al (0.0000, 0.0000, 0.5000) (multiplicity 1)  8 Dy 3.23, 4 Sn 3.42
Sn (0.5000, 0.5000, 0.5000) (multiplicity 1)  8 Dy 3.23, 4 Al 3.42

The spin magnetization is 0.00 Bohr magnetons per cell. Its total energy is -4.7351 eV/atom. As for the formation energy: -0.50 eV/atom.

=====

Here is crystalline Dy5Al2Sn2 at its relaxed geometry from Alexandria. Energies are from PBE.

Lattice parameters (Å, degrees): 15.5465 8.0470 7.9191 90.00 90.00 90.00
Last column: nearest neighbours and their distance in Å.
Space group Cmce (No. 64)
Asymmetric unit:
Dy (0.0000, 0.0000, 0.0000) (multiplicity 4)  4 Al 3.17-3.22, 2 Sn 3.25
Dy (0.1360, 0.1785, 0.3245) (multiplicity 16)  3 Sn 3.13-3.16, 3 Al 3.14-3.22
Al (0.0000, 0.1175, 0.6183) (multiplicity 8)  1 Al 2.66
Sn (0.2091, 0.0000, 0.0000) (multiplicity 8)  7 Dy 3.13-3.25

The spin magnetization is 0.00 Bohr magnetons per cell. Its total energy is -4.7971 eV/atom. As for the formation energy: -0.52 eV/atom.

=====

Here is crystalline DyAl2Sn at its relaxed geometry from Alexandria. Energies are from PBE.

Lattice parameters (Å, degrees): 4.4302 4.4302 4.3798 90.00 90.00 90.00
Last column: nearest neighbours and their distance in Å.
Space group P4/mmm (No. 123)
Asymmetric unit:
Dy (0.0000, 0.0000, 0.0000) (multiplicity 1)  8 Al 3.11, 4 Sn 3.13
Al (0.0000, 0.5000, 0.5000) (multiplicity 2)  4 Sn 3.11, 4 Dy 3.11, 4 Al 3.13
Sn (0.5000, 0.5000, 0.0000) (multiplicity 1)  8 Al 3.11, 4 Dy 3.13

The spin magnetization is 0.00 Bohr magnetons per cell. Its total energy is -4.4108 eV/atom. As for the formation energy: -0.39 eV/atom.

=====

Here is crystalline Dy4AlSn at its relaxed geometry from Alexandria. Energies are from PBE.

Lattice parameters (Å, degrees): 7.2051 7.2051 14.4011 90.00 90.00 90.00
Last column: nearest neighbours and their distance in Å.
Space group I4_1/amd (No. 141, origin choice 2)
Asymmetric unit:
Dy (0.2401, 0.0000, 0.0000) (multiplicity 16)  2 Al 3.08, 2 Sn 3.16
Al (0.0000, 0.2500, 0.8750) (multiplicity 4)  8 Dy 3.08
Sn (0.0000, 0.2500, 0.3750) (multiplicity 4)  8 Dy 3.16

The spin magnetization is 0.00 Bohr magnetons per cell. Its total energy is -4.5797 eV/atom. As for the formation energy: -0.22 eV/atom.